This record from the Alexandria database describes crystalline NiSb2Ru at its relaxed geometry. The functional is PBE.

```
NiSb2Ru
1.0
9.6777 -0.0040 -0.0023
9.1475 3.1595 -0.0023
9.1475 1.5333 2.7625
Sb Ni Ru
2 1 1
direct
0.0259 0.0259 0.0259
0.2214 0.2214 0.2214
0.4938 0.4938 0.4938
0.7589 0.7589 0.7589
```

Output
**Offset from the most stable computed form**: 127 kJ/mol of formula units
**Uncorrected formation energy**: 278 meV per atom
**Space-group type**: R3m

***

This record from the Alexandria database describes crystalline La4PtN2 at its relaxed geometry. The functional is PBE.

```
La4PtN2
1.0
-2.9859 -1.6370 4.4956
4.4193 -2.9740 1.8523
2.6863 2.5335 6.2441
Pt N La
1 2 4
direct
0.0000 0.0000 0.0000
0.5548 0.5548 0.8903
0.4452 0.4452 0.1097
0.2586 0.2586 0.4828
0.0000 0.5000 0.0000
0.7414 0.7414 0.5172
0.5000 0.0000 0.0000
```

Output
**Offset from the most stable computed form**: 203 kJ/mol of formula units
**Uncorrected formation energy**: -760 meV per atom
**Space-group type**: I4/mmm

***

This record from the Alexandria database describes crystalline Ba2BeIrC at its relaxed geometry. The functional is PBE.

```
Ba2BeIrC
1.0
-3.8462 4.4122 -0.2507
-0.2812 -0.0555 3.3377
4.3918 3.8532 0.4340
Ba C Ir Be
2 1 1 1
direct
0.5000 0.0000 0.0000
0.0000 0.0000 0.5000
0.0000 0.0000 0.0000
0.5000 0.5000 0.5000
0.0000 0.5000 0.0000
```

Output
**Calculated formation energy**: 352 meV per atom
**Space-group type**: P4/mmm

***

This record from the Alexandria database describes crystalline NbCu3Ru at its relaxed geometry. The functional is PBE.

```
NbCu3Ru
1.0
-0.8423 3.2313 2.9881
-4.0684 -1.7321 0.7261
1.6786 -2.5765 3.2593
Cu Nb Ru
3 1 1
direct
0.5000 0.0000 0.0000
0.0000 0.5000 0.0000
0.0000 0.0000 0.5000
0.5000 0.5000 0.5000
0.0000 0.0000 0.0000
```

Output
**Offset from the most stable computed form**: 0 kJ/mol of formula units
**Calculated formation energy**: 1411 meV per atom
**Space-group type**: Pm-3m

***

The evaluated total magnetic moment for the records listed, in turn: 0.038, 0.389, 0.261, 0.000 Bohr magnetons per cell.